Entry 1:
Compound: Tl2InCu
Source: Alexandria
Functional: PBE-GGA
Structure: optimized geometry

Values from the calculation:
As for the density of states at the Fermi level: 3.35 states/eV/cell. For the calculated volume, the calculation gives 100 Å³/f.u. The calculation puts the energy at -20.9 eV for the cell shown. The crystal system is tetragonal. The formation energy is 0.28 eV per atom. As for the space group: I-4m2, No. 119.

Cell: 4.6390 4.6390 9.2776 Å, 90.00 90.00 90.00°
Last column: nearest neighbours and their distance in Å.
Fractional coordinates of all 8 atoms:
Tl 0.0000 0.0000 0.0000  4 Tl 3.28, 4 Cu 3.28, 4 In 3.28
Tl 0.0000 0.5000 0.2500  4 Tl 3.28, 4 In 3.28, 4 Cu 3.28
Tl 0.5000 0.0000 0.7500  4 In 3.28, 4 Tl 3.28, 4 Cu 3.28
Tl 0.5000 0.5000 0.5000  4 Tl 3.28, 4 Cu 3.28, 4 In 3.28
In 0.0000 0.0000 0.5000  8 Tl 3.28, 4 Cu 3.28
In 0.5000 0.5000 0.0000  8 Tl 3.28, 4 Cu 3.28
Cu 0.0000 0.5000 0.7500  4 In 3.28, 8 Tl 3.28
Cu 0.5000 0.0000 0.2500  8 Tl 3.28, 4 In 3.28


Entry 2:
Compound: TlInCu2
Source: Alexandria
Functional: PBE-GGA
Structure: optimized geometry

Values from the calculation:
The value obtained for the relative energy among the computed polymorphs is 112.8 meV/atom. As for the density of states at the Fermi level: 5.98 states/eV/cell. For the calculated volume, the calculation gives 84 Å³/f.u. The calculation puts the energy at -36.7 eV for the cell shown. The crystal system is trigonal. The formation energy is 0.27 eV per atom. As for the space group: R3m, No. 160.

Cell: 3.5545 3.5545 22.9590 Å, 90.00 90.00 120.00°
Last column: nearest neighbours and their distance in Å.
Fractional coordinates of all 12 atoms:
Tl 0.0000 0.0000 0.0000  3 Cu 2.82
Tl 0.3333 0.6667 0.6667  3 Cu 2.82
Tl 0.6667 0.3333 0.3333  3 Cu 2.82
In 0.0000 0.0000 0.7827  3 Cu 2.70
In 0.3333 0.6667 0.4493  3 Cu 2.70
In 0.6667 0.3333 0.1160  3 Cu 2.70
Cu 0.0000 0.0000 0.2492  3 Cu 2.43
Cu 0.0000 0.0000 0.5258  3 Cu 2.43, 3 In 2.70
Cu 0.3333 0.6667 0.1925  3 Cu 2.43, 3 In 2.70
Cu 0.3333 0.6667 0.9159  3 Cu 2.43
Cu 0.6667 0.3333 0.5826  3 Cu 2.43
Cu 0.6667 0.3333 0.8592  3 Cu 2.43, 3 In 2.70


Entry 3:
Compound: TlInCu2
Source: Alexandria
Functional: PBE-GGA
Structure: optimized geometry

Values from the calculation:
The value obtained for the relative energy among the computed polymorphs is 10.2 meV/atom. As for the density of states at the Fermi level: 1.15 states/eV/cell. For the calculated volume, the calculation gives 79 Å³/f.u. The calculation puts the energy at -12.6 eV for the cell shown. The crystal system is orthorhombic. The formation energy is 0.16 eV per atom. As for the space group: Pmm2, No. 25.

Cell: 3.2086 3.3727 7.3065 Å, 90.00 90.00 90.00°
Last column: nearest neighbours and their distance in Å.
Fractional coordinates of all 4 atoms:
Tl 0.0000 0.0000 0.0000  5 Cu 2.95-3.02, 2 Tl 3.21
In 0.5000 0.5000 0.6386  5 Cu 2.74-2.89
Cu 0.0000 0.0000 0.4037  4 Cu 2.54
Cu 0.5000 0.5000 0.2634  4 Cu 2.54, 1 In 2.74


Entry 4:
Compound: TlInCu2
Source: Alexandria
Functional: PBE-GGA
Structure: optimized geometry

Values from the calculation:
The value obtained for the relative energy among the computed polymorphs is 146.5 meV/atom. As for the density of states at the Fermi level: 2.72 states/eV/cell. For the calculated volume, the calculation gives 76 Å³/f.u. The calculation puts the energy at -24.2 eV for the cell shown. The crystal system is tetragonal. The formation energy is 0.30 eV per atom. As for the space group: I-4m2, No. 119.

Cell: 4.0781 4.0781 9.0897 Å, 90.00 90.00 90.00°
Last column: nearest neighbours and their distance in Å.
Fractional coordinates of all 8 atoms:
Tl 0.0000 0.0000 0.0000  8 Cu 2.88-3.05, 4 In 3.05
Tl 0.5000 0.5000 0.5000  8 Cu 2.88-3.05, 4 In 3.05
In 0.0000 0.5000 0.2500  8 Cu 2.88-3.05, 4 Tl 3.05
In 0.5000 0.0000 0.7500  8 Cu 2.88-3.05, 4 Tl 3.05
Cu 0.0000 0.0000 0.5000  4 Tl 2.88, 4 Cu 3.05, 4 In 3.05
Cu 0.0000 0.5000 0.7500  4 In 2.88, 4 Tl 3.05, 4 Cu 3.05
Cu 0.5000 0.0000 0.2500  4 In 2.88, 4 Tl 3.05, 4 Cu 3.05
Cu 0.5000 0.5000 0.0000  4 Tl 2.88, 4 In 3.05, 4 Cu 3.05


Entry 5:
Compound: TlInCu3
Source: Alexandria
Functional: PBE-GGA
Structure: optimized geometry

Values from the calculation:
The value obtained for the relative energy among the computed polymorphs is 0.0 meV/atom. As for the density of states at the Fermi level: 2.35 states/eV/cell. For the calculated volume, the calculation gives 121 Å³/f.u. The calculation puts the energy at -14.1 eV for the cell shown. The crystal system is cubic. The formation energy is 0.65 eV per atom. As for the space group: Pm-3m, No. 221.

Cell: 4.9457 4.9457 4.9457 Å, 90.00 90.00 90.00°
Last column: nearest neighbours and their distance in Å.
Fractional coordinates of all 5 atoms:
Tl 0.0000 0.0000 0.0000  12 Cu 3.50
In 0.5000 0.5000 0.5000  6 Cu 2.47
Cu 0.0000 0.5000 0.5000  2 In 2.47
Cu 0.5000 0.0000 0.5000  2 In 2.47
Cu 0.5000 0.5000 0.0000  2 In 2.47


Entry 6:
Compound: Tl2InCu
Source: Alexandria
Functional: PBE-GGA
Structure: optimized geometry

Values from the calculation:
As for the density of states at the Fermi level: 9.32 states/eV/cell. For the calculated volume, the calculation gives 102 Å³/f.u. The calculation puts the energy at -41.2 eV for the cell shown. The crystal system is cubic. The formation energy is 0.31 eV per atom. As for the space group: F-43m, No. 216.

Cell: 7.4154 7.4154 7.4154 Å, 90.00 90.00 90.00°
Last column: nearest neighbours and their distance in Å.
Fractional coordinates of all 16 atoms:
Tl 0.0000 0.0000 0.0000  4 Tl 3.21, 4 Cu 3.21
Tl 0.0000 0.5000 0.5000  4 Tl 3.21, 4 Cu 3.21
Tl 0.2500 0.2500 0.2500  4 Tl 3.21, 4 In 3.21
Tl 0.2500 0.7500 0.7500  4 Tl 3.21, 4 In 3.21
Tl 0.5000 0.0000 0.5000  4 Tl 3.21, 4 Cu 3.21
Tl 0.5000 0.5000 0.0000  4 Tl 3.21, 4 Cu 3.21
Tl 0.7500 0.2500 0.7500  4 Tl 3.21, 4 In 3.21
Tl 0.7500 0.7500 0.2500  4 Tl 3.21, 4 In 3.21
In 0.0000 0.0000 0.5000  4 Tl 3.21, 4 Cu 3.21
In 0.0000 0.5000 0.0000  4 Tl 3.21, 4 Cu 3.21
In 0.5000 0.0000 0.0000  4 Tl 3.21, 4 Cu 3.21
In 0.5000 0.5000 0.5000  4 Tl 3.21, 4 Cu 3.21
Cu 0.2500 0.2500 0.7500  4 Tl 3.21, 4 In 3.21
Cu 0.2500 0.7500 0.2500  4 Tl 3.21, 4 In 3.21
Cu 0.7500 0.2500 0.2500  4 Tl 3.21, 4 In 3.21
Cu 0.7500 0.7500 0.7500  4 Tl 3.21, 4 In 3.21


Entry 7:
Compound: Tl2InCu
Source: Alexandria
Functional: PBE-GGA
Structure: optimized geometry

Values from the calculation:
As for the density of states at the Fermi level: 3.86 states/eV/cell. For the calculated volume, the calculation gives 100 Å³/f.u. The calculation puts the energy at -20.9 eV for the cell shown. The crystal system is tetragonal. The formation energy is 0.28 eV per atom. As for the space group: I4/mmm, No. 139.

Cell: 4.6735 4.6735 9.1264 Å, 90.00 90.00 90.00°
Last column: nearest neighbours and their distance in Å.
Fractional coordinates of all 8 atoms:
Tl 0.0000 0.5000 0.2500  4 Cu 3.27, 4 In 3.27, 4 Tl 3.30
Tl 0.0000 0.5000 0.7500  4 In 3.27, 4 Cu 3.27, 4 Tl 3.30
Tl 0.5000 0.0000 0.2500  4 Cu 3.27, 4 In 3.27, 4 Tl 3.30
Tl 0.5000 0.0000 0.7500  4 In 3.27, 4 Cu 3.27, 4 Tl 3.30
In 0.0000 0.0000 0.0000  8 Tl 3.27, 4 Cu 3.30
In 0.5000 0.5000 0.5000  8 Tl 3.27, 4 Cu 3.30
Cu 0.0000 0.0000 0.5000  8 Tl 3.27, 4 In 3.30
Cu 0.5000 0.5000 0.0000  8 Tl 3.27, 4 In 3.30


Entry 8:
Compound: TlInCu2
Source: Alexandria
Functional: PBE-GGA
Structure: optimized geometry

Values from the calculation:
The value obtained for the relative energy among the computed polymorphs is 80.5 meV/atom. As for the density of states at the Fermi level: 1.71 states/eV/cell. For the calculated volume, the calculation gives 79 Å³/f.u. The calculation puts the energy at -12.4 eV for the cell shown. The crystal system is monoclinic. The formation energy is 0.23 eV per atom. As for the space group: P2/m, No. 10.

Cell: 3.6262 3.1472 7.1472 Å, 90.00 103.43 90.00°
Last column: nearest neighbours and their distance in Å.
Fractional coordinates of all 4 atoms:
Tl 0.0000 0.0000 0.0000  4 Cu 2.81, 2 Tl 3.15
In 0.0000 0.0000 0.5000  8 Cu 2.74-2.80
Cu 0.4227 0.5000 0.3008  4 In 2.74-2.80, 1 Cu 2.77, 2 Tl 2.81
Cu 0.5773 0.5000 0.6992  4 In 2.74-2.80, 1 Cu 2.77, 2 Tl 2.81


Entry 9:
Compound: TlInCu2
Source: Alexandria
Functional: PBE-GGA
Structure: optimized geometry

Values from the calculation:
The value obtained for the relative energy among the computed polymorphs is 201.4 meV/atom. As for the density of states at the Fermi level: 5.56 states/eV/cell. For the calculated volume, the calculation gives 88 Å³/f.u. The calculation puts the energy at -47.5 eV for the cell shown. The crystal system is tetragonal. The formation energy is 0.35 eV per atom. As for the space group: I-42d, No. 122.

Cell: 4.4028 4.4028 18.2368 Å, 90.00 90.00 90.00°
Last column: nearest neighbours and their distance in Å.
Fractional coordinates of all 16 atoms:
Tl 0.0000 0.0000 0.0000  4 Cu 2.96, 4 In 3.11
Tl 0.0000 0.5000 0.2500  4 Cu 2.96, 4 In 3.11
Tl 0.5000 0.0000 0.7500  4 Cu 2.96, 4 In 3.11
Tl 0.5000 0.5000 0.5000  4 Cu 2.96, 4 In 3.11
In 0.0000 0.0000 0.5000  4 Cu 2.62
In 0.0000 0.5000 0.7500  4 Cu 2.62
In 0.5000 0.0000 0.2500  4 Cu 2.62
In 0.5000 0.5000 0.0000  4 Cu 2.62
Cu 0.1505 0.2500 0.6250  2 Cu 2.57, 2 In 2.62
Cu 0.2500 0.6505 0.8750  2 Cu 2.57, 2 In 2.62
Cu 0.2500 0.8495 0.3750  2 Cu 2.57, 2 In 2.62
Cu 0.3495 0.2500 0.1250  2 Cu 2.57, 2 In 2.62
Cu 0.6505 0.7500 0.1250  2 Cu 2.57, 2 In 2.62
Cu 0.7500 0.1505 0.3750  2 Cu 2.57, 2 In 2.62
Cu 0.7500 0.3495 0.8750  2 Cu 2.57, 2 In 2.62
Cu 0.8495 0.7500 0.6250  2 Cu 2.57, 2 In 2.62


Entry 10:
Compound: TmTlInCu
Source: Alexandria
Functional: PBE-GGA
Structure: optimized geometry

Values from the calculation:
As for the density of states at the Fermi level: 6.65 states/eV/cell. For the calculated volume, the calculation gives 89 Å³/f.u. The calculation puts the energy at -55.9 eV for the cell shown. The crystal system is cubic. The formation energy is -0.08 eV per atom. As for the space group: F-43m, No. 216.

Cell: 7.0942 7.0942 7.0942 Å, 90.00 90.00 90.00°
Last column: nearest neighbours and their distance in Å.
Fractional coordinates of all 16 atoms:
Tm 0.0000 0.0000 0.0000  4 Tl 3.07, 4 Cu 3.07
Tm 0.0000 0.5000 0.5000  4 Tl 3.07, 4 Cu 3.07
Tm 0.5000 0.0000 0.5000  4 Tl 3.07, 4 Cu 3.07
Tm 0.5000 0.5000 0.0000  4 Tl 3.07, 4 Cu 3.07
Tl 0.2500 0.2500 0.2500  4 In 3.07, 4 Tm 3.07
Tl 0.2500 0.7500 0.7500  4 In 3.07, 4 Tm 3.07
Tl 0.7500 0.2500 0.7500  4 In 3.07, 4 Tm 3.07
Tl 0.7500 0.7500 0.2500  4 In 3.07, 4 Tm 3.07
In 0.0000 0.0000 0.5000  4 Tl 3.07, 4 Cu 3.07
In 0.0000 0.5000 0.0000  4 Cu 3.07, 4 Tl 3.07
In 0.5000 0.0000 0.0000  4 Cu 3.07, 4 Tl 3.07
In 0.5000 0.5000 0.5000  4 Tl 3.07, 4 Cu 3.07
Cu 0.2500 0.2500 0.7500  4 In 3.07, 4 Tm 3.07
Cu 0.2500 0.7500 0.2500  4 In 3.07, 4 Tm 3.07
Cu 0.7500 0.2500 0.2500  4 In 3.07, 4 Tm 3.07
Cu 0.7500 0.7500 0.7500  4 In 3.07, 4 Tm 3.07